1.
Y3Cd2Au2 | Alexandria | PBE-GGA | optimized geometry; symmetry = No. 65; ΔE_f = -0.58 eV/atom
1.0
-0.820 -2.686 2.966
-1.790 -2.127 -2.422
9.412 -6.936 -0.866
Y Cd Au
3 2 2
Cartesian
2.345 -4.488 2.209
0.000 0.000 0.000
6.247 -5.134 -0.109
6.590 -8.479 -0.231
0.211 -3.270 -0.090
4.002 -7.005 0.388
2.799 -4.744 -0.709


2.
Pu3BiAu2 | Alexandria | PBE-GGA | optimized geometry; symmetry = No. 65; ΔE_f = -0.38 eV/atom; energy above the lowest structure with this stoichiometry = 0 meV/atom
1.0
4.247 0.000 0.000
0.000 4.865 0.000
0.000 0.000 14.623
Pu Bi Au
6 2 4
Cartesian
2.124 2.432 9.884
2.124 0.000 7.312
2.124 2.432 4.740
2.123 0.000 2.572
2.123 2.432 0.000
2.123 0.000 12.051
0.000 2.432 7.312
4.247 0.000 0.000
0.000 0.000 9.722
0.000 0.000 4.901
4.247 2.432 2.411
4.247 2.432 12.213


3.
NiHgBr | Alexandria | PBE-GGA | optimized geometry; uncorrected formation energy = 10.4 kJ per mole of atoms; symmetry = No. 1; energy above the lowest structure with this stoichiometry = 151 meV/atom
1.0
-0.376 -2.426 2.400
3.210 -3.094 -0.180
2.819 1.346 4.222
Ni Hg Br
1 1 1
Cartesian
3.131 -3.343 3.494
4.510 -3.496 5.953
1.747 -1.440 2.745


4.
KNa2TaO4 | Alexandria | PBE-GGA | optimized geometry; uncorrected formation energy = -219.5 kJ per mole of atoms; symmetry = No. 121
1.0
5.875 0.243 0.000
-0.245 5.875 0.000
-2.815 -3.059 3.939
K Na Ta O
1 2 1 4
Cartesian
0.000 0.000 0.000
2.937 0.122 1.970
-0.122 2.937 1.970
2.815 3.059 0.000
1.050 1.141 2.882
1.674 4.109 1.058
3.956 2.009 1.058
-1.050 -1.141 2.882